A relaxed structure of YCu4Pt. Source: Alexandria via LeMat-Bulk, functional GGA-PBE.

POSCAR file:
```
YCu4Pt
1.0
5.000 0.000 0.000
2.500 4.330 0.000
2.500 1.443 4.083
Cu Y Pt
4 1 1
Cartesian
5.000 2.887 0.521
3.759 3.604 2.548
5.000 1.453 2.548
6.242 3.604 2.548
0.000 0.000 0.000
2.500 1.443 1.021
```

* crystal system: cubic

---

A relaxed structure of CeNdMg2. Source: Alexandria via LeMat-Bulk, functional GGA-PBE.

POSCAR file:
```
CeNdMg2
1.0
5.467 0.000 0.000
2.733 4.734 0.000
2.733 1.578 4.464
Ce Mg Nd
1 2 1
Cartesian
0.000 0.000 0.000
2.733 1.578 1.116
8.200 4.734 3.348
5.467 3.156 2.232
```

* energy above the lowest structure with this stoichiometry: 1 meV/atom
* crystal system: cubic

---

A relaxed structure of KBeGa2Os. Source: Alexandria via LeMat-Bulk, functional GGA-PBE.

POSCAR file:
```
KBeGa2Os
1.0
4.864 0.000 0.000
0.000 4.864 0.000
0.000 0.000 4.504
Os K Ga Be
1 1 2 1
Cartesian
0.000 0.000 0.000
2.432 2.432 2.252
0.000 2.432 0.000
2.432 0.000 0.000
0.000 0.000 2.252
```

* crystal system: tetragonal

---

Number 1: energy relative to the elements -0.398 eV/atom, final energy -5.2126 eV/atom. Number 2: energy relative to the elements -0.007 eV/atom, final energy -3.4798 eV/atom. Number 3: energy relative to the elements -0.013 eV/atom, final energy -4.4343 eV/atom.